#P
Material: CoRe4
Method: DFT, GGA-PBE
State: relaxed

## Properties
theoretical density: 16.313 g/cm³
Fermi-level density of states: 9.1 states/eV/f.u.
calculated volume: 81.82 Å³/cell

abc: 4.341 4.341 4.341
angles: 90.00 90.00 90.00
Fractional coordinates of all 5 atoms:
Co: 0.000 0.000 0.000
Re: 0.000 0.000 0.500
Re: 0.000 0.500 0.000
Re: 0.500 0.000 0.000
Re: 0.500 0.500 0.500



#Q
Material: CoRe4
Method: DFT, GGA-PBE
State: relaxed

## Properties
theoretical density: 16.072 g/cm³
Fermi-level density of states: 9.5 states/eV/f.u.
calculated volume: 83.04 Å³/cell

abc: 4.760 4.760 4.760
angles: 109.47 109.47 109.47
Fractional coordinates of all 5 atoms:
Co: 0.000 0.000 0.000
Re: 0.000 0.000 0.500
Re: 0.000 0.500 0.000
Re: 0.500 0.000 0.000
Re: 0.500 0.500 0.500



Relative energy table, unit meV per atom: #P 329; #Q 0